No. 1
YTa2BeRh, relaxed, DFT PBE; mass density = 8.91 Mg/m³; total DFT energy (no corrections) = -5.9000 eV/atom; ΔE_f = 2.349 eV/atom
1.0
-4.299 -0.334 2.280
1.224 -3.860 1.742
1.865 2.332 3.857
Y Ta Be Rh
1 2 1 1
direct
0.000 0.000 0.000
0.000 0.000 0.500
0.500 0.000 0.000
0.000 0.500 0.000
0.500 0.500 0.500



No. 2
Sr2ZnPt, relaxed, DFT PBE; mass density = 5.77 Mg/m³; total DFT energy (no corrections) = -2.9656 eV/atom; ΔE_f = -0.296 eV/atom
1.0
-2.138 1.151 3.759
1.252 -3.859 1.894
5.213 2.735 2.128
Zn Sr Pt
1 2 1
direct
0.000 0.000 0.376
0.000 0.000 0.875
0.500 0.500 0.375
0.500 0.500 0.875



No. 3
Tb2NdSmTh, relaxed, DFT PBE; mass density = 7.80 Mg/m³; total DFT energy (no corrections) = -4.8200 eV/atom; ΔE_f = 0.413 eV/atom
1.0
6.966 0.000 0.000
0.000 8.600 0.000
0.000 -4.300 6.001
Tb Sm Th Nd
4 2 2 2
direct
0.500 0.683 0.000
0.500 0.317 0.000
0.000 0.683 0.000
0.000 0.317 0.000
0.250 0.271 0.542
0.750 0.729 0.458
0.750 0.999 0.998
0.250 0.001 0.002
0.250 0.732 0.463
0.750 0.268 0.537



Number 1 is which compound?
YTa2BeRh



Among the records above, which one has the lowest mass density?
Sr2ZnPt